The following is a DFT calculation (PBE-GGA) of crystalline W3N2 at its relaxed geometry.

## Properties
As for the crystal system: trigonal. The value obtained for the total energy is -11.30 eV/atom. As for the space-group type: R-3m.

Cell: 2.8585 2.8585 24.2528 Å, 90.00 90.00 120.00°
With the nearest neighbours (Å) after each atom.
Sites, in units of the cell vectors:
W 0.0000 0.0000 0.0000  6 N 2.22
W 0.0000 0.0000 0.1187  3 N 2.16
W 0.0000 0.0000 0.8813  3 N 2.16
W 0.3333 0.6667 0.5479  3 N 2.16
W 0.3333 0.6667 0.6667  6 N 2.22
W 0.3333 0.6667 0.7854  3 N 2.16
W 0.6667 0.3333 0.2146  3 N 2.16
W 0.6667 0.3333 0.3333  6 N 2.22
W 0.6667 0.3333 0.4521  3 N 2.16
N 0.0000 0.0000 0.2723  6 W 2.16-2.22
N 0.0000 0.0000 0.7277  6 W 2.16-2.22
N 0.3333 0.6667 0.3944  6 W 2.16-2.22
N 0.3333 0.6667 0.9389  6 W 2.16-2.22
N 0.6667 0.3333 0.0611  6 W 2.16-2.22
N 0.6667 0.3333 0.6056  6 W 2.16-2.22

The following is a DFT calculation (PBE-GGA) of crystalline LiErHg at its relaxed geometry.

## Properties
As for the crystal system: cubic. The value obtained for the total energy is -2.34 eV/atom. As for the space-group type: F-43m.

Cell: 6.8296 6.8296 6.8296 Å, 90.00 90.00 90.00°
With the nearest neighbours (Å) after each atom.
Sites, in units of the cell vectors:
Li 0.0000 0.0000 0.0000  4 Hg 2.96
Li 0.0000 0.5000 0.5000  4 Hg 2.96
Li 0.5000 0.0000 0.5000  4 Hg 2.96
Li 0.5000 0.5000 0.0000  4 Hg 2.96
Er 0.0000 0.0000 0.5000  4 Hg 2.96
Er 0.0000 0.5000 0.0000  4 Hg 2.96
Er 0.5000 0.0000 0.0000  4 Hg 2.96
Er 0.5000 0.5000 0.5000  4 Hg 2.96
Hg 0.2500 0.2500 0.7500  4 Li 2.96, 4 Er 2.96
Hg 0.2500 0.7500 0.2500  4 Li 2.96, 4 Er 2.96
Hg 0.7500 0.2500 0.2500  4 Li 2.96, 4 Er 2.96
Hg 0.7500 0.7500 0.7500  4 Li 2.96, 4 Er 2.96

The following is a DFT calculation (PBE-GGA) of crystalline Np2Se5 at its relaxed geometry.

## Properties
As for the crystal system: orthorhombic. The value obtained for the total energy is -7.15 eV/atom. As for the space-group type: Ccce.

Cell: 5.4676 5.4676 10.6106 Å, 90.00 90.00 90.05°
With the nearest neighbours (Å) after each atom.
Sites, in units of the cell vectors:
Np 0.2500 0.2500 0.1515  10 Se 2.93-3.09
Np 0.2500 0.2500 0.6515  10 Se 2.93-3.09
Np 0.7500 0.7500 0.3485  10 Se 2.93-3.09
Np 0.7500 0.7500 0.8485  10 Se 2.93-3.09
Se 0.0067 0.7500 0.1023  2 Se 2.66-2.81, 1 Np 2.97
Se 0.2500 0.5067 0.3977  2 Se 2.66-2.81, 1 Np 2.97
Se 0.2500 0.7500 0.7500  4 Np 2.93
Se 0.2500 0.9933 0.3977  2 Se 2.66-2.81, 1 Np 2.97
Se 0.4933 0.7500 0.1023  2 Se 2.66-2.81, 1 Np 2.97
Se 0.5067 0.2500 0.8977  2 Se 2.66-2.81, 1 Np 2.97
Se 0.7500 0.0067 0.6023  2 Se 2.66-2.81, 1 Np 2.97
Se 0.7500 0.2500 0.2500  4 Np 2.93
Se 0.7500 0.4933 0.6023  2 Se 2.66-2.81, 1 Np 2.97
Se 0.9933 0.2500 0.8977  2 Se 2.66-2.81, 1 Np 2.97

> Number 3 is which compound?

Np2Se5